## Y2AuIBr (PBE-GGA)

Data for crystalline Y2AuIBr at its relaxed geometry.

Cell lengths 5.348, 6.204, 5.348 Å; angles 90.00, 90.00, 90.00 degrees
Fractional coordinates of all 5 atoms:
Au (0.500, 0.500, 0.500)
I (0.000, 0.500, 0.000)
Y (0.500, 0.000, 0.000)
Y (0.000, 0.000, 0.500)
Br (0.000, 0.000, 0.000)

Summary:
Formation energy without anion corrections, eV/atom: 0.108
Space-group type: P4/mmm (123)
Total magnetic moment, μB/cell: 0.00
Total energy, eV per atom: -3.778